Compound: ReSb2Au
Source: Alexandria via LeMat-Bulk
Functional: GGA-PBE
Structure: relaxed

Cell lengths 3.1955, 3.1955, 30.6616 Å; angles 90.00, 90.00, 120.00 degrees
Space group R3m (No. 160, hexagonal axes)
Symmetry-distinct sites (fractional):
Re: 0.0000 0.0000 0.0000 [3 per cell]
Sb: 0.0000 0.0000 0.5225 [3 per cell]
Sb: 0.0000 0.0000 0.7324 [3 per cell]
Au: 0.0000 0.0000 0.2634 [3 per cell]

Properties
magnetic moment = 0.00 μB per cell
crystal system = trigonal
energy above the lowest structure with this stoichiometry = 162 meV/atom
N(E_F) = 1.0840 states/eV/atom

***

Compound: ReSb4Au2
Source: Alexandria via LeMat-Bulk
Functional: GGA-PBE
Structure: relaxed

Cell lengths 5.257, 5.257, 13.583 Å; angles 90.00, 90.00, 90.00 degrees
Space group I4/mmm (No. 139)
Symmetry-distinct sites (fractional):
Re: 0.000 0.000 0.000 [2 per cell]
Sb: 0.000 0.000 0.204 [4 per cell]
Sb: 0.000 0.500 0.000 [4 per cell]
Au: 0.000 0.000 0.397 [4 per cell]

Properties
magnetic moment = 0.00 μB per cell
crystal system = tetragonal
N(E_F) = 0.6649 states/eV/atom

***

Compound: ReSb2Au
Source: Alexandria via LeMat-Bulk
Functional: GGA-PBE
Structure: relaxed

Cell lengths 3.451, 4.280, 5.582 Å; angles 90.00, 90.00, 90.00 degrees
Space group Pmm2 (No. 25)
Symmetry-distinct sites (fractional):
Re: 0.000 0.000 0.000 [1 per cell]
Sb: 0.000 0.000 0.503 [1 per cell]
Sb: 0.500 0.500 0.124 [1 per cell]
Au: 0.500 0.500 0.636 [1 per cell]

Properties
magnetic moment = 0.00 μB per cell
crystal system = orthorhombic
energy above the lowest structure with this stoichiometry = 197 meV/atom
N(E_F) = 0.6600 states/eV/atom

***

Number 1: E_tot -5.52 eV per atom. Number 2: E_tot -4.57 eV per atom. Number 3: E_tot -5.48 eV per atom.